# Fe2TcPb (PBE-GGA, optimized geometry)
data_Fe2TcPb
_chemical_formula_sum 'Fe4 Tc2 Pb2'
_space_group_name_H-M_alt 'I m m m'
_space_group_IT_number 71
_space_group_name_Hall '-I 2 2'
_cell_length_a 3.237
_cell_length_b 4.446
_cell_length_c 8.822
_cell_angle_alpha 90.00
_cell_angle_beta 90.00
_cell_angle_gamma 90.00
loop_
_atom_site_label
_atom_site_fract_x
_atom_site_fract_y
_atom_site_fract_z
Fe1 0.000 0.000 0.237
Tc1 0.000 0.500 0.500
Pb1 0.000 0.500 0.000
# VASP energy: -7.187 eV per atom
# Fermi-level density of states: 7.30 states/eV per cell
# ΔH_f (0 K): 563 meV per atom
# total magnetic moment: 5.9 μB per formula unit


# Fe2TcPb (PBE-GGA, optimized geometry)
data_Fe2TcPb
_chemical_formula_sum 'Fe4 Tc2 Pb2'
_space_group_name_H-M_alt 'I m m 2'
_space_group_IT_number 44
_cell_length_a 3.278
_cell_length_b 4.366
_cell_length_c 8.595
_cell_angle_alpha 90.00
_cell_angle_beta 90.00
_cell_angle_gamma 90.00
loop_
_space_group_symop_operation_xyz
'x,y,z'
'-x,-y,z'
'-x,y,z'
'x,-y,z'
'x+1/2,y+1/2,z+1/2'
'-x+1/2,-y+1/2,z+1/2'
'-x+1/2,y+1/2,z+1/2'
'x+1/2,-y+1/2,z+1/2'
loop_
_atom_site_label
_atom_site_fract_x
_atom_site_fract_y
_atom_site_fract_z
Fe1 0.000 0.000 0.000
Fe2 0.000 0.500 0.283
Tc1 0.000 0.000 0.531
Pb1 0.000 0.500 0.759
# VASP energy: -7.250 eV per atom
# Fermi-level density of states: 8.02 states/eV per cell
# ΔH_f (0 K): 499 meV per atom
# total magnetic moment: 5.5 μB per formula unit